Computed, not measured: a relaxed structure of Tb7Pr12Nd at the GGA-PBE level of DFT.

Energy above the lowest structure with this stoichiometry (meV per atom): 90.2
Crystal system: trigonal

a b c (Å): 19.7647 19.7647 6.3055
angles (deg): 90.00 90.00 120.00
Space group R-3 (No. 148, hexagonal axes)
One atom of each set of equivalent atoms:
Tb (0.0000, 0.0000, 0.0000) x3
Tb (0.0818, 0.9172, 0.2932) x18
Pr (0.0003, 0.4117, 0.0012) x18
Pr (0.0972, 0.5490, 0.4696) x18
Nd (0.0000, 0.0000, 0.5000) x3